Entry 1:
Ca4Ga3Pb: optimized geometry, GGA-PBE.

Cell lengths 4.3896, 4.5633, 11.2735 Å; angles 90.00, 90.00, 90.00 degrees
Space group Pmm2 (No. 25)
Inequivalent atoms, fractional coordinates:
Ca 0.0000 0.0000 0.0000 (multiplicity 1)
Ca 0.0000 0.5000 0.4847 (multiplicity 1)
Ca 0.5000 0.0000 0.7077 (multiplicity 1)
Ca 0.5000 0.5000 0.2153 (multiplicity 1)
Ga 0.0000 0.0000 0.2884 (multiplicity 1)
Ga 0.5000 0.0000 0.4149 (multiplicity 1)
Ga 0.5000 0.5000 0.9366 (multiplicity 1)
Pb 0.0000 0.5000 0.7759 (multiplicity 1)

Values from the calculation:
V (Å³ per cell): 226

***

Entry 2:
InFe2Ir: optimized geometry, GGA-PBE.

Cell lengths 3.0908, 4.3862, 8.6483 Å; angles 90.00, 90.00, 90.00 degrees
Space group Imm2 (No. 44)
Inequivalent atoms, fractional coordinates:
In 0.0000 0.0000 0.0000 (multiplicity 2)
Fe 0.0000 0.0000 0.4773 (multiplicity 2)
Fe 0.0000 0.5000 0.7608 (multiplicity 2)
Ir 0.0000 0.5000 0.2294 (multiplicity 2)

Values from the calculation:
V (Å³ per cell): 117

***

no.,ΔH_f (0 K) (kJ/mol of atoms),DFT total energy (eV per atom),D(E_F) (states/eV per atom)
1,-46,-3.07,0.457
2,10,-7.02,0.762